# 1
KMnCl4: optimized geometry, PBE.

a = 8.870 Å, b = 8.870 Å, c = 6.600 Å
α = 100.11°, β = 100.11°, γ = 126.06°
Fractional coordinates of all 12 atoms:
K  0.169  0.831  0.750
K  0.831  0.169  0.250
Mn  0.441  0.559  0.750
Mn  0.559  0.441  0.250
Cl  0.139  0.457  0.754
Cl  0.277  0.368  0.312
Cl  0.368  0.277  0.812
Cl  0.457  0.139  0.254
Cl  0.543  0.861  0.746
Cl  0.632  0.723  0.188
Cl  0.723  0.632  0.688
Cl  0.861  0.543  0.246

## Properties
Space group   C2/c
Crystal system   monoclinic
Volume   194 Å³/f.u.
ΔE_f (raw)   -1.31 eV per atom
Energy above the lowest structure with this stoichiometry   0 meV per atom

***

# 2
K2Mn3Cl8: optimized geometry, PBE.

a = 8.448 Å, b = 8.448 Å, c = 6.595 Å
α = 106.03°, β = 106.03°, γ = 54.14°
Fractional coordinates of all 13 atoms:
K  0.234  0.234  0.168
K  0.766  0.766  0.832
Mn  0.239  0.761  0.500
Mn  0.500  0.500  0.000
Mn  0.761  0.239  0.500
Cl  0.106  0.106  0.455
Cl  0.176  0.632  0.112
Cl  0.368  0.824  0.888
Cl  0.403  0.403  0.601
Cl  0.597  0.597  0.399
Cl  0.632  0.176  0.112
Cl  0.824  0.368  0.888
Cl  0.894  0.894  0.545

## Properties
Space group   C2/m
Crystal system   monoclinic
Volume   363 Å³/f.u.
ΔE_f (raw)   -1.37 eV per atom

***

# 3
K4MnCl: optimized geometry, PBE.

a = 7.690 Å, b = 7.690 Å, c = 7.690 Å
α = 60.00°, β = 60.00°, γ = 60.00°
Fractional coordinates of all 6 atoms:
K  0.125  0.125  0.125
K  0.125  0.125  0.624
K  0.125  0.624  0.125
K  0.624  0.125  0.125
Mn  0.750  0.750  0.750
Cl  0.500  0.500  0.500

## Properties
Space group   F-43m
Crystal system   cubic
Volume   322 Å³/f.u.
ΔE_f (raw)   0.26 eV per atom

***

# 4
KMnCl4: optimized geometry, PBE.

a = 6.144 Å, b = 6.144 Å, c = 6.144 Å
α = 60.00°, β = 60.00°, γ = 60.00°
Fractional coordinates of all 6 atoms:
K  0.000  0.000  0.000
Mn  0.750  0.750  0.750
Cl  0.375  0.375  0.375
Cl  0.375  0.375  0.874
Cl  0.375  0.874  0.375
Cl  0.874  0.375  0.375

## Properties
Space group   F-43m
Crystal system   cubic
Volume   164 Å³/f.u.
ΔE_f (raw)   -0.01 eV per atom
Energy above the lowest structure with this stoichiometry   1307 meV per atom